Entry 1:
Computed, not measured: a relaxed La2CuPb crystal at the GGA-PBE level of DFT.

```
data_La2CuPb
_chemical_formula_sum 'La2 Cu1 Pb1'
_symmetry_space_group_name_H-M 'P 4/m m m'
_symmetry_Int_Tables_number 123
_symmetry_space_group_name_Hall '-P 4 2'
_cell_length_a 3.6877
_cell_length_b 3.6877
_cell_length_c 8.2894
_cell_angle_alpha 90.00
_cell_angle_beta 90.00
_cell_angle_gamma 90.00
loop_
_atom_site_label
_atom_site_type_symbol
_atom_site_fract_x
_atom_site_fract_y
_atom_site_fract_z
La1 La 0.0000 0.0000 0.2195
Cu1 Cu 0.5000 0.5000 0.0000
Pb1 Pb 0.5000 0.5000 0.5000
```

Output
* D(E_F): 3.714 states/eV/cell
* volume: 113 Å³ per cell
* formation energy from the elements: -1.4 eV per formula unit

---

Entry 2:
Computed, not measured: a relaxed PmPrGaBi crystal at the GGA-PBE level of DFT.

```
data_PmPrGaBi
_chemical_formula_sum 'Pm4 Pr4 Ga4 Bi4'
_symmetry_space_group_name_H-M 'F -4 3 m'
_symmetry_Int_Tables_number 216
_symmetry_space_group_name_Hall 'F -4 2 3'
_cell_length_a 7.7306
_cell_length_b 7.7306
_cell_length_c 7.7306
_cell_angle_alpha 90.00
_cell_angle_beta 90.00
_cell_angle_gamma 90.00
loop_
_atom_site_label
_atom_site_type_symbol
_atom_site_fract_x
_atom_site_fract_y
_atom_site_fract_z
Pm1 Pm 0.0000 0.0000 0.0000
Pr1 Pr 0.0000 0.0000 0.5000
Ga1 Ga 0.2500 0.2500 0.2500
Bi1 Bi 0.2500 0.2500 0.7500
```

Output
* D(E_F): 19.636 states/eV/cell
* volume: 462 Å³ per cell
* formation energy from the elements: -2.0 eV per formula unit

---

- What is the volume in the first record?
  113 Å³ per cell